Material: CaMg2CdPd
Method: DFT, PBE
State: optimized geometry

```
data_CaMg2CdPd
_cell_length_a 4.9903
_cell_length_b 4.9903
_cell_length_c 5.2816
_cell_angle_alpha 90.00
_cell_angle_beta 90.00
_cell_angle_gamma 90.00
_symmetry_space_group_name_H-M 'P 4/m m m'
_symmetry_Int_Tables_number 123
_symmetry_space_group_name_Hall '-P 4 2'
loop_
_atom_site_label
_atom_site_fract_x
_atom_site_fract_y
_atom_site_fract_z
Ca1 0.0000 0.0000 0.0000
Mg1 0.0000 0.5000 0.5000
Cd1 0.5000 0.5000 0.0000
Pd1 0.5000 0.5000 0.5000
```

## Properties
As for the formation energy from the elements: -0.25 eV/atom.